[1]
Compound: Rb2BaSI6
Source: the Alexandria database
Functional: PBE
Structure: optimized geometry

Cell: 9.294 9.294 8.910 Å, 58.56 58.56 90.00°
Last column: magnetic moment on the atom in μB.
Atoms (fractional coordinates):
I: 0.744 0.744 0.000  0.13
I: 0.256 0.256 0.000  0.13
I: 0.256 0.744 0.000  0.13
I: 0.744 0.256 0.000  0.13
I: 0.281 0.281 0.438  0.01
I: 0.719 0.719 0.562  0.01
S: 0.500 0.500 0.000  0.71
Rb: 0.250 0.750 0.500  0.00
Rb: 0.750 0.250 0.500  0.00
Ba: 0.000 0.000 0.000  0.05

Output
* space group: I4/mmm
* E_form (uncorrected): -853 meV per atom
* calculated volume: 519.7 Å³ per cell


[2]
Compound: Ga2Co2Ni
Source: the Alexandria database
Functional: PBE
Structure: optimized geometry

Cell: 2.898 4.027 10.337 Å, 90.00 98.00 90.00°
Last column: magnetic moment on the atom in μB.
Atoms (fractional coordinates):
Ga: 0.346 0.250 0.693  -0.02
Ga: 0.452 0.750 0.903  0.01
Ga: 0.654 0.750 0.307  -0.02
Ga: 0.548 0.250 0.097  0.01
Ni: 0.147 0.250 0.293  -0.01
Ni: 0.853 0.750 0.707  -0.01
Co: 0.250 0.750 0.501  1.50
Co: 0.052 0.750 0.103  -0.22
Co: 0.750 0.250 0.499  1.50
Co: 0.948 0.250 0.897  -0.22

Output
* formation energy from the elements: -21.2 kJ per mole of atoms
* energy above the lowest structure with this stoichiometry: 0 meV/atom
* space group: P2_1/m
* calculated volume: 119.5 Å³ per cell


[3]
Compound: Ni5Te2As
Source: the Alexandria database
Functional: PBE
Structure: optimized geometry

Cell: 3.772 3.772 9.831 Å, 101.06 101.06 90.00°
Atoms (fractional coordinates):
Te: 0.174 0.174 0.348
Te: 0.826 0.826 0.652
Ni: 0.000 0.000 0.000
Ni: 0.086 0.586 0.172
Ni: 0.586 0.086 0.172
Ni: 0.914 0.414 0.828
Ni: 0.414 0.914 0.828
As: 0.500 0.500 0.000

Output
* space group: I4/mmm
* E_form (uncorrected): -204 meV per atom
* calculated volume: 134.6 Å³ per cell


[4]
Compound: LaPm2DyTl4
Source: the Alexandria database
Functional: PBE
Structure: optimized geometry

Cell: 5.495 5.495 9.552 Å, 73.28 73.28 60.00°
Atoms (fractional coordinates):
Tl: 0.377 0.377 0.868
Tl: 0.873 0.873 0.381
Tl: 0.127 0.127 0.619
Tl: 0.623 0.623 0.132
La: 0.000 0.000 0.000
Pm: 0.249 0.249 0.253
Pm: 0.751 0.751 0.747
Dy: 0.500 0.500 0.500

Output
* formation energy from the elements: -36.2 kJ per mole of atoms
* space group: R-3m
* calculated volume: 235.6 Å³ per cell


[5]
Compound: LiPbI2
Source: the Alexandria database
Functional: PBE
Structure: optimized geometry

Cell: 5.672 5.672 5.672 Å, 60.00 60.00 60.00°
Atoms (fractional coordinates):
I: 0.250 0.250 0.250
I: 0.750 0.750 0.750
Pb: 0.500 0.500 0.500
Li: 0.000 0.000 0.000

Output
* energy above the lowest structure with this stoichiometry: 172 meV/atom
* space group: Fm-3m
* E_form (uncorrected): -429 meV per atom
* calculated volume: 129.0 Å³ per cell


[6]
Compound: PrDy6Tm3Th2
Source: the Alexandria database
Functional: PBE
Structure: optimized geometry

Cell: 6.164 6.164 11.733 Å, 95.03 95.03 119.93°
Atoms (fractional coordinates):
Tm: 0.166 0.834 0.500
Tm: 0.834 0.166 0.500
Tm: 0.500 0.500 0.500
Dy: 0.423 0.085 0.251
Dy: 0.915 0.577 0.749
Dy: 0.747 0.747 0.251
Dy: 0.085 0.423 0.251
Dy: 0.577 0.915 0.749
Dy: 0.253 0.253 0.749
Th: 0.333 0.667 0.000
Th: 0.667 0.333 0.000
Pr: 0.000 0.000 0.000

Output
* formation energy from the elements: 3.7 kJ per mole of atoms
* space group: C2/m
* calculated volume: 380.4 Å³ per cell


[7]
Compound: BaZnBrF3
Source: the Alexandria database
Functional: PBE
Structure: optimized geometry

Cell: 5.229 6.063 10.725 Å, 73.58 88.92 86.18°
Atoms (fractional coordinates):
Zn: 0.750 0.032 0.935
Zn: 0.250 0.968 0.065
F: 0.428 0.867 0.921
F: 0.572 0.133 0.079
F: 0.928 0.788 0.079
F: 0.072 0.212 0.921
F: 0.250 0.873 0.254
F: 0.750 0.127 0.746
Ba: 0.750 0.839 0.321
Ba: 0.250 0.161 0.679
Br: 0.750 0.283 0.433
Br: 0.250 0.717 0.567

Output
* space group: C2/c
* E_form (uncorrected): -2600 meV per atom
* calculated volume: 325.4 Å³ per cell


[8]
Compound: ZnCuSb2Te
Source: the Alexandria database
Functional: PBE
Structure: optimized geometry

Cell: 5.078 5.078 5.274 Å, 90.00 90.00 90.00°
Atoms (fractional coordinates):
Te: 0.000 0.000 0.500
Cu: 0.000 0.000 0.000
Sb: 0.000 0.500 0.000
Sb: 0.500 0.000 0.000
Zn: 0.500 0.500 0.500

Output
* energy above the lowest structure with this stoichiometry: 0 meV/atom
* space group: P4/mmm
* E_form (uncorrected): 533 meV per atom
* calculated volume: 136.0 Å³ per cell


Total magnetic moment per entry: 2.00; 1.24; 0.00; 0.00; 0.00; 0.00; 0.00; 0.00 μB/f.u.
Uncorrected energy per entry: -2.581; -5.429; -5.184; -3.937; -2.610; -5.016; -4.348; -2.818 eV per atom